1.
LiMn2Os: optimized geometry, PBE-GGA.

Summary:
uncorrected energy	-7.57	eV per atom
size of the total moment	0.000	μB/f.u.
SG	P2/m (10)

Lattice parameters (Å, degrees): 2.5105 4.0638 4.7223 90.00 102.20 90.00
Fractional positions:
Li: 0.0000 0.0000 0.0000
Mn: 0.2656 0.5000 0.7679
Mn: 0.7344 0.5000 0.2321
Os: 0.5000 0.0000 0.5000


2.
PrIn4CuPd2: optimized geometry, PBE-GGA.

Summary:
uncorrected energy	-4.17	eV per atom
size of the total moment	0.000	μB/f.u.
SG	R-3m (166)

Lattice parameters (Å, degrees): 9.6753 9.6753 9.6753 27.52 27.52 27.52
Fractional positions:
Pr: 0.0000 0.0000 0.0000
In: 0.1316 0.1316 0.1316
In: 0.3987 0.3987 0.3987
In: 0.6013 0.6013 0.6013
In: 0.8684 0.8684 0.8684
Cu: 0.5000 0.5000 0.5000
Pd: 0.2373 0.2373 0.2373
Pd: 0.7627 0.7627 0.7627


3.
Mo2Rh9W: optimized geometry, PBE-GGA.

Summary:
uncorrected energy	-8.36	eV per atom
size of the total moment	0.000	μB/f.u.
SG	P-1 (2)

Lattice parameters (Å, degrees): 4.8319 4.8444 7.8476 92.22 99.23 96.34
Fractional positions:
Mo: 0.0226 0.2497 0.3910
Mo: 0.9774 0.7503 0.6090
Rh: 0.0736 0.7504 0.2814
Rh: 0.2504 0.5482 0.9739
Rh: 0.4384 0.0140 0.8287
Rh: 0.4559 0.5089 0.6630
Rh: 0.5000 0.0000 0.5000
Rh: 0.5441 0.4911 0.3370
Rh: 0.5616 0.9860 0.1713
Rh: 0.7496 0.4518 0.0261
Rh: 0.9264 0.2496 0.7186
W: 0.0000 0.0000 0.0000


Copy entry 2 word for word.
PrIn4CuPd2: optimized geometry, PBE-GGA.

Summary:
uncorrected energy	-4.17	eV per atom
size of the total moment	0.000	μB/f.u.
SG	R-3m (166)

Lattice parameters (Å, degrees): 9.6753 9.6753 9.6753 27.52 27.52 27.52
Fractional positions:
Pr: 0.0000 0.0000 0.0000
In: 0.1316 0.1316 0.1316
In: 0.3987 0.3987 0.3987
In: 0.6013 0.6013 0.6013
In: 0.8684 0.8684 0.8684
Cu: 0.5000 0.5000 0.5000
Pd: 0.2373 0.2373 0.2373
Pd: 0.7627 0.7627 0.7627


- Which value of size of the total moment does entry 1 give?
  0.000 μB/f.u.


- Number 1 is which compound?
  LiMn2Os


Please write out number 1 again, unchanged.
LiMn2Os: optimized geometry, PBE-GGA.

Summary:
uncorrected energy	-7.57	eV per atom
size of the total moment	0.000	μB/f.u.
SG	P2/m (10)

Lattice parameters (Å, degrees): 2.5105 4.0638 4.7223 90.00 102.20 90.00
Fractional positions:
Li: 0.0000 0.0000 0.0000
Mn: 0.2656 0.5000 0.7679
Mn: 0.7344 0.5000 0.2321
Os: 0.5000 0.0000 0.5000